{"formula": "Tb3Sc", "functional": "PBE", "state": "optimized geometry", "lattice": [[4.928, 0.000, 0.000], [0.000, 4.928, 0.000], [0.000, 0.000, 4.928]], "species": ["Tb", "Sc", "Tb", "Tb"], "frac_coords": [[0.000, 0.500, 0.500], [0.000, 0.000, 0.000], [0.500, 0.000, 0.500], [0.500, 0.500, 0.000]], "magnetic_moment_mub_per_atom": 0.000, "total_energy_ev_per_atom": -5.017, "volume_a3_per_fu": 119.7, "relative_energy_ev_per_atom": 0.017, "ef_ev_per_atom": 0.04}